FeSb2Pb2 | PBE | relaxed

The structure in CIF format:
```
data_FeSb2Pb2
_chemical_formula_sum 'Fe2 Sb4 Pb4'
_cell_length_a 6.678
_cell_length_b 6.678
_cell_length_c 5.822
_cell_angle_alpha 90.00
_cell_angle_beta 90.00
_cell_angle_gamma 90.00
_space_group_name_H-M_alt 'P 4/m b m'
_space_group_IT_number 127
_space_group_name_Hall '-P 4 2ab'
loop_
_atom_site_label
_atom_site_fract_x
_atom_site_fract_y
_atom_site_fract_z
Fe1 0.000 0.000 0.000
Sb1 0.155 0.345 0.000
Pb1 0.182 0.682 0.500
```

## Properties
* N(E_F): 1.50 states/eV/f.u.
* E_form (uncorrected): 1.1 eV per formula unit

***

ZnNiOs | PBE | relaxed

The structure in CIF format:
```
data_ZnNiOs
_chemical_formula_sum 'Zn2 Ni2 Os2'
_cell_length_a 2.594
_cell_length_b 3.739
_cell_length_c 8.124
_cell_angle_alpha 90.00
_cell_angle_beta 90.00
_cell_angle_gamma 90.00
_space_group_name_H-M_alt 'I m m 2'
_space_group_IT_number 44
loop_
_space_group_symop_operation_xyz
'x,y,z'
'-x,-y,z'
'-x,y,z'
'x,-y,z'
'x+1/2,y+1/2,z+1/2'
'-x+1/2,-y+1/2,z+1/2'
'-x+1/2,y+1/2,z+1/2'
'x+1/2,-y+1/2,z+1/2'
loop_
_atom_site_label
_atom_site_fract_x
_atom_site_fract_y
_atom_site_fract_z
Zn1 0.000 0.000 0.000
Ni1 0.000 0.000 0.665
Os1 0.000 0.000 0.324
```

## Properties
* energy relative to the elements: 0.224 eV/atom
* N(E_F): 3.61 states/eV/f.u.

***

VZn2Pt | PBE | relaxed

The structure in CIF format:
```
data_VZn2Pt
_chemical_formula_sum 'V4 Zn8 Pt4'
_cell_length_a 7.029
_cell_length_b 7.029
_cell_length_c 5.139
_cell_angle_alpha 90.00
_cell_angle_beta 90.00
_cell_angle_gamma 90.00
_space_group_name_H-M_alt 'I -4 2 d'
_space_group_IT_number 122
_space_group_name_Hall 'I -4 2bw'
loop_
_atom_site_label
_atom_site_fract_x
_atom_site_fract_y
_atom_site_fract_z
V1 0.000 0.000 0.000
Zn1 0.244 0.750 0.625
Pt1 0.000 0.000 0.500
```

## Properties
* energy relative to the elements: 0.187 eV/atom
* N(E_F): 3.15 states/eV/f.u.

***

Ca2HgTe | PBE | relaxed

The structure in CIF format:
```
data_Ca2HgTe
_chemical_formula_sum 'Ca6 Hg3 Te3'
_cell_length_a 4.4224
_cell_length_b 4.4224
_cell_length_c 26.3349
_cell_angle_alpha 90.00
_cell_angle_beta 90.00
_cell_angle_gamma 120.00
_space_group_name_H-M_alt 'R 3 m'
_space_group_IT_number 160
_space_group_name_Hall 'R 3 -2"'
loop_
_atom_site_label
_atom_site_fract_x
_atom_site_fract_y
_atom_site_fract_z
Ca1 0.0000 0.0000 0.0000
Ca2 0.0000 0.0000 0.2092
Hg1 0.0000 0.0000 0.7378
Te1 0.0000 0.0000 0.4769
```

## Properties
* N(E_F): 0.76 states/eV/f.u.
* E_form (uncorrected): -2.3 eV per formula unit

***

no.,energy (eV/atom)
1,-4.598
2,-5.871
3,-4.240
4,-2.430